Density functional theory data (PBE) for a relaxed La2NbC2 crystal.

Space group: P4/mbm (127)
Energy of formation: 5.98 eV/f.u.
Energy relative to the lowest polymorph listed for this composition: 59 meV/atom
Density: 7.15 g/cm³

```
La2NbC2
1.0
-4.1413 6.2982 0.0392
-5.8674 -3.8750 2.7162
0.9798 0.6255 3.0088
Nb C La
2 4 4
direct
0.0000 0.0000 0.0000
0.5000 0.5000 0.0000
0.1679 0.6679 0.5000
0.6679 0.8321 0.5000
0.8321 0.3321 0.5000
0.3321 0.1679 0.5000
0.3635 0.8635 0.0000
0.8635 0.6365 0.0000
0.6365 0.1365 0.0000
0.1365 0.3635 0.0000
```

Density functional theory data (PBE) for a relaxed ScZnPt6 crystal.

Space group: P4/mmm (123)
Energy of formation: -5.68 eV/f.u.
Density: 17.01 g/cm³

```
ScZnPt6
1.0
-0.4993 -2.0870 -3.3533
1.3872 -3.2573 1.8207
-7.3269 -1.8626 2.2502
Sc Zn Pt
1 1 6
direct
0.0000 0.0000 0.0000
0.0000 0.0000 0.5000
0.5000 0.5000 0.0000
0.5000 0.5000 0.5000
0.5000 0.0000 0.2551
0.5000 0.0000 0.7449
0.0000 0.5000 0.2551
0.0000 0.5000 0.7449
```

Density functional theory data (PBE) for a relaxed PrErMgIn crystal.

Space group: F-43m (216)
Energy of formation: -1.27 eV/f.u.
Density: 6.69 g/cm³

```
PrErMgIn
1.0
5.3941 0.0000 0.0000
2.6971 4.6714 0.0000
2.6971 1.5571 4.4043
Pr Mg In Er
1 1 1 1
direct
0.7500 0.7500 0.7500
0.0000 0.0000 0.0000
0.5000 0.5000 0.5000
0.2500 0.2500 0.2500
```

Density functional theory data (PBE) for a relaxed Cs2KCr crystal.

Space group: Fm-3m (225)
Energy of formation: 2.71 eV/f.u.
Density: 2.33 g/cm³

```
Cs2KCr
1.0
0.0000 5.0258 5.0258
5.0258 0.0000 5.0258
5.0258 5.0258 0.0000
Cs Cr K
2 1 1
direct
0.2500 0.2500 0.2500
0.7500 0.7500 0.7500
0.5000 0.5000 0.5000
0.0000 0.0000 0.0000
```

What did the first record say?
Density functional theory data (PBE) for a relaxed La2NbC2 crystal.

Space group: P4/mbm (127)
Energy of formation: 5.98 eV/f.u.
Energy relative to the lowest polymorph listed for this composition: 59 meV/atom
Density: 7.15 g/cm³

```
La2NbC2
1.0
-4.1413 6.2982 0.0392
-5.8674 -3.8750 2.7162
0.9798 0.6255 3.0088
Nb C La
2 4 4
direct
0.0000 0.0000 0.0000
0.5000 0.5000 0.0000
0.1679 0.6679 0.5000
0.6679 0.8321 0.5000
0.8321 0.3321 0.5000
0.3321 0.1679 0.5000
0.3635 0.8635 0.0000
0.8635 0.6365 0.0000
0.6365 0.1365 0.0000
0.1365 0.3635 0.0000
```

Among the records above, which one has the highest energy of formation? La2NbC2

Look up the energy of formation of the second one. -5.68 eV/f.u.